Density functional theory data (GGA-PBE) for a relaxed structure of Ho3Er2Tm6Zr.

Cell lengths 6.009, 6.009, 11.492 Å; angles 94.99, 94.99, 119.92 degrees
Positions (direct):
Tm: 0.246 0.246 0.756
Er: 0.667 0.333 0.000
Zr: 0.000 0.000 0.000
Tm: 0.592 0.919 0.755
Tm: 0.408 0.081 0.245
Tm: 0.081 0.408 0.245
Ho: 0.500 0.500 0.500
Ho: 0.167 0.833 0.500
Tm: 0.919 0.592 0.755
Er: 0.333 0.667 0.000
Ho: 0.833 0.167 0.500
Tm: 0.754 0.754 0.244

Output
* space-group type: C2/m
* total magnetization: 0.0000 μB/atom
* ΔE_f: 0.5 eV per formula unit

***

Density functional theory data (GGA-PBE) for a relaxed structure of Ho2ErTm5Zr.

Cell lengths 5.441, 10.450, 9.860 Å; angles 90.00, 90.00, 105.09 degrees
Positions (direct):
Tm: 0.265 0.530 0.337
Tm: 0.984 0.968 0.514
Tm: 0.016 0.032 0.014
Ho: 0.890 0.781 0.812
Tm: 0.367 0.733 0.024
Tm: 0.301 0.602 0.701
Tm: 0.735 0.470 0.837
Ho: 0.110 0.219 0.312
Tm: 0.482 0.963 0.738
Tm: 0.633 0.267 0.524
Er: 0.403 0.806 0.445
Er: 0.597 0.194 0.945
Tm: 0.699 0.398 0.201
Tm: 0.518 0.037 0.238
Zr: 0.189 0.378 0.021
Ho: 0.879 0.757 0.232
Ho: 0.121 0.243 0.732
Zr: 0.811 0.622 0.521

Output
* space-group type: Cmc2_1
* total magnetization: 0.0001 μB/atom
* ΔE_f: 1.6 eV per formula unit

***

Density functional theory data (GGA-PBE) for a relaxed structure of Ho5ErTm2Zr.

Cell lengths 5.457, 10.522, 9.879 Å; angles 90.00, 90.00, 105.03 degrees
Positions (direct):
Er: 0.598 0.196 0.943
Ho: 0.984 0.968 0.512
Tm: 0.878 0.757 0.233
Ho: 0.263 0.527 0.340
Tm: 0.109 0.217 0.309
Ho: 0.737 0.473 0.840
Ho: 0.698 0.396 0.201
Ho: 0.016 0.032 0.012
Er: 0.402 0.804 0.443
Tm: 0.122 0.243 0.733
Ho: 0.635 0.270 0.524
Ho: 0.365 0.730 0.024
Zr: 0.813 0.626 0.524
Ho: 0.482 0.964 0.739
Tm: 0.891 0.783 0.809
Ho: 0.302 0.604 0.701
Zr: 0.187 0.374 0.024
Ho: 0.518 0.036 0.239

Output
* space-group type: Cmc2_1
* total magnetization: 0.0000 μB/atom
* ΔE_f: 1.6 eV per formula unit

***

Density functional theory data (GGA-PBE) for a relaxed structure of Ho6Er3Tm2Zr.

Cell lengths 6.026, 6.026, 11.529 Å; angles 94.97, 94.97, 119.90 degrees
Positions (direct):
Ho: 0.754 0.754 0.244
Tm: 0.333 0.667 0.000
Ho: 0.409 0.081 0.245
Er: 0.833 0.167 0.500
Zr: 0.000 0.000 0.000
Er: 0.500 0.500 0.500
Ho: 0.081 0.409 0.245
Ho: 0.591 0.919 0.755
Ho: 0.246 0.246 0.756
Er: 0.167 0.833 0.500
Tm: 0.667 0.333 0.000
Ho: 0.919 0.591 0.755

Output
* space-group type: C2/m
* total magnetization: 0.0001 μB/atom
* ΔE_f: 0.5 eV per formula unit

***

Density functional theory data (GGA-PBE) for a relaxed structure of Ho5Er2TmZr.

Cell lengths 5.448, 10.519, 9.917 Å; angles 90.00, 90.00, 105.01 degrees
Positions (direct):
Ho: 0.016 0.032 0.011
Er: 0.121 0.243 0.734
Tm: 0.402 0.803 0.445
Zr: 0.187 0.374 0.024
Er: 0.108 0.217 0.309
Er: 0.879 0.757 0.234
Ho: 0.516 0.033 0.238
Ho: 0.263 0.526 0.340
Zr: 0.813 0.626 0.524
Tm: 0.598 0.197 0.945
Ho: 0.302 0.604 0.700
Ho: 0.984 0.968 0.511
Ho: 0.737 0.474 0.840
Ho: 0.698 0.396 0.200
Ho: 0.363 0.725 0.023
Er: 0.892 0.783 0.809
Ho: 0.637 0.275 0.523
Ho: 0.484 0.967 0.738

Output
* space-group type: Cmc2_1
* total magnetization: 0.0001 μB/atom
* ΔE_f: 1.6 eV per formula unit

***

Density functional theory data (GGA-PBE) for a relaxed structure of HoEr2V.

Cell lengths 3.344, 3.344, 11.496 Å; angles 81.64, 81.64, 60.00 degrees
Site moments in Bohr magnetons follow the coordinates.
Positions (direct):
V: 0.000 0.000 0.000  2.58
Er: 0.918 0.918 0.247  0.05
Ho: 0.500 0.500 0.500  -0.01
Er: 0.082 0.082 0.753  0.05

Output
* space-group type: R-3m
* total magnetization: 0.7719 μB/atom
* ΔE_f: 2.4 eV per formula unit

***

Density functional theory data (GGA-PBE) for a relaxed structure of HoErVZn.

Cell lengths 5.018, 5.018, 5.018 Å; angles 60.00, 60.00, 60.00 degrees
Site moments in Bohr magnetons follow the coordinates.
Positions (direct):
Er: 0.000 0.000 0.000  0.21
V: 0.250 0.250 0.250  2.42
Zn: 0.750 0.750 0.750  -0.04
Ho: 0.500 0.500 0.500  0.20

Output
* space-group type: F-43m
* total magnetization: 0.8028 μB/atom
* ΔE_f: 0.1 eV per formula unit

***

Density functional theory data (GGA-PBE) for a relaxed structure of HoErW.

Cell lengths 3.334, 3.334, 13.492 Å; angles 90.00, 90.00, 90.00 degrees
Positions (direct):
Ho: 0.000 0.500 0.197
W: 0.500 0.000 0.049
W: 0.000 0.500 0.951
Er: 0.000 0.500 0.593
Ho: 0.500 0.000 0.803
Er: 0.500 0.000 0.407

Output
* space-group type: P4/nmm
* total magnetization: 0.0000 μB/atom
* ΔE_f: 0.6 eV per formula unit

***

Density functional theory data (GGA-PBE) for a relaxed structure of HoEr2W.

Cell lengths 3.198, 3.198, 11.600 Å; angles 82.08, 82.08, 60.00 degrees
Positions (direct):
W: 0.000 0.000 0.000
Ho: 0.500 0.500 0.500
Er: 0.081 0.081 0.756
Er: 0.919 0.919 0.244

Output
* space-group type: R-3m
* total magnetization: 0.0000 μB/atom
* ΔE_f: 3.1 eV per formula unit

***

Density functional theory data (GGA-PBE) for a relaxed structure of Y2HoEr9.

Cell lengths 3.466, 11.135, 11.135 Å; angles 120.00, 90.00, 90.00 degrees
Positions (direct):
Er: 0.000 0.000 0.500
Er: 0.500 0.176 0.824
Er: 0.000 0.500 0.500
Er: 0.500 0.649 0.824
Y: 0.000 0.667 0.333
Ho: 0.000 0.000 0.000
Er: 0.500 0.824 0.649
Er: 0.500 0.176 0.351
Er: 0.500 0.351 0.176
Er: 0.500 0.824 0.176
Y: 0.000 0.333 0.667
Er: 0.000 0.500 0.000

Output
* space-group type: P6/mmm
* total magnetization: 0.0000 μB/atom
* ΔE_f: 0.8 eV per formula unit

***

Density functional theory data (GGA-PBE) for a relaxed structure of Y4Ho3Er3.

Cell lengths 3.697, 9.271, 9.271 Å; angles 90.01, 90.00, 90.00 degrees
Positions (direct):
Y: 0.000 0.372 0.628
Er: 0.000 0.000 0.501
Y: 0.000 0.873 0.872
Y: 0.000 0.628 0.372
Ho: 0.500 0.671 0.671
Er: 0.000 0.499 0.000
Ho: 0.500 0.329 0.329
Ho: 0.500 0.829 0.171
Y: 0.000 0.128 0.127
Er: 0.500 0.171 0.829

Output
* space-group type: Amm2
* total magnetization: 0.0001 μB/atom
* ΔE_f: 1.1 eV per formula unit

***

Density functional theory data (GGA-PBE) for a relaxed structure of Y3Ho7Er2.

Cell lengths 3.560, 5.749, 18.536 Å; angles 93.43, 90.00, 90.00 degrees
Positions (direct):
Er: 0.500 0.293 0.706
Ho: 0.500 0.813 0.821
Y: 0.000 0.781 0.633
Ho: 0.000 0.000 0.000
Er: 0.500 0.707 0.294
Ho: 0.000 0.685 0.144
Ho: 0.000 0.315 0.856
Ho: 0.500 0.258 0.537
Ho: 0.500 0.187 0.179
Ho: 0.500 0.742 0.463
Y: 0.000 0.219 0.367
Y: 0.500 0.500 0.000

Output
* space-group type: P2/m
* total magnetization: 0.0000 μB/atom
* ΔE_f: 1.1 eV per formula unit